No. 1
Crystalline Sm2DyY2Sc at its relaxed geometry, computed with PBE.

```
data_Sm2DyY2Sc
_chemical_formula_sum 'Sm4 Dy2 Y4 Sc2'
_space_group_name_H-M_alt 'P m m a'
_space_group_IT_number 51
_space_group_name_Hall '-P 2a 2a'
_cell_length_a 7.012
_cell_length_b 5.568
_cell_length_c 9.624
_cell_angle_alpha 90.00
_cell_angle_beta 90.00
_cell_angle_gamma 90.00
loop_
_atom_site_label
_atom_site_type_symbol
_atom_site_fract_x
_atom_site_fract_y
_atom_site_fract_z
Sm1 Sm 0.250 0.000 0.150
Sm2 Sm 0.250 0.500 0.682
Dy1 Dy 0.000 0.500 0.000
Y1 Y 0.000 0.000 0.500
Y2 Y 0.250 0.500 0.342
Sc1 Sc 0.250 0.000 0.822
```

---

No. 2
Crystalline Sm2DyY5Sc at its relaxed geometry, computed with PBE.

```
data_Sm2DyY5Sc
_chemical_formula_sum 'Sm8 Dy4 Y20 Sc4'
_space_group_name_H-M_alt 'C m c 21'
_space_group_IT_number 36
_space_group_name_Hall 'C 2c -2'
_cell_length_a 5.555
_cell_length_b 20.212
_cell_length_c 10.343
_cell_angle_alpha 90.00
_cell_angle_beta 90.00
_cell_angle_gamma 90.00
loop_
_atom_site_label
_atom_site_type_symbol
_atom_site_fract_x
_atom_site_fract_y
_atom_site_fract_z
Sm1 Sm 0.000 0.111 0.000
Sm2 Sm 0.000 0.116 0.579
Dy1 Dy 0.000 0.407 0.862
Y1 Y 0.000 0.016 0.299
Y2 Y 0.000 0.270 0.982
Y3 Y 0.000 0.299 0.613
Y4 Y 0.000 0.369 0.293
Y5 Y 0.000 0.482 0.575
Sc1 Sc 0.000 0.191 0.297
```

---

No. 3
Crystalline SmDyYSc at its relaxed geometry, computed with PBE.

**Energy above the lowest structure with this stoichiometry**: 12.2 meV per atom

```
data_SmDyYSc
_chemical_formula_sum 'Sm4 Dy4 Y4 Sc4'
_space_group_name_H-M_alt 'F -4 3 m'
_space_group_IT_number 216
_space_group_name_Hall 'F -4 2 3'
_cell_length_a 7.879
_cell_length_b 7.879
_cell_length_c 7.879
_cell_angle_alpha 90.00
_cell_angle_beta 90.00
_cell_angle_gamma 90.00
loop_
_atom_site_label
_atom_site_type_symbol
_atom_site_fract_x
_atom_site_fract_y
_atom_site_fract_z
Sm1 Sm 0.000 0.000 0.000
Dy1 Dy 0.000 0.000 0.500
Y1 Y 0.250 0.250 0.250
Sc1 Sc 0.250 0.250 0.750
```

---

No. 4
Crystalline Sm2Dy2YSc2 at its relaxed geometry, computed with PBE.

```
data_Sm2Dy2YSc2
_chemical_formula_sum 'Sm4 Dy4 Y2 Sc4'
_space_group_name_H-M_alt 'C 1 2/m 1'
_space_group_IT_number 12
_space_group_name_Hall '-C 2y'
_cell_length_a 11.381
_cell_length_b 3.434
_cell_length_c 11.583
_cell_angle_alpha 90.00
_cell_angle_beta 108.91
_cell_angle_gamma 90.00
loop_
_atom_site_label
_atom_site_type_symbol
_atom_site_fract_x
_atom_site_fract_y
_atom_site_fract_z
Sm1 Sm 0.172 0.000 0.089
Dy1 Dy 0.047 0.000 0.769
Y1 Y 0.000 0.500 0.500
Sc1 Sc 0.227 0.500 0.368
```

---

No. 5
Crystalline SmDy2Y5Sc at its relaxed geometry, computed with PBE.

```
data_SmDy2Y5Sc
_chemical_formula_sum 'Sm4 Dy8 Y20 Sc4'
_space_group_name_H-M_alt 'C m c 21'
_space_group_IT_number 36
_space_group_name_Hall 'C 2c -2'
_cell_length_a 5.562
_cell_length_b 19.932
_cell_length_c 10.383
_cell_angle_alpha 90.00
_cell_angle_beta 90.00
_cell_angle_gamma 90.00
loop_
_atom_site_label
_atom_site_type_symbol
_atom_site_fract_x
_atom_site_fract_y
_atom_site_fract_z
Sm1 Sm 0.000 0.089 0.000
Dy1 Dy 0.000 0.385 0.285
Dy2 Dy 0.000 0.389 0.863
Y1 Y 0.000 0.019 0.288
Y2 Y 0.000 0.128 0.571
Y3 Y 0.000 0.201 0.252
Y4 Y 0.000 0.227 0.879
Y5 Y 0.000 0.483 0.567
Sc1 Sc 0.000 0.307 0.566
```

---

No. 6
Crystalline Sm3DyYSc at its relaxed geometry, computed with PBE.

```
data_Sm3DyYSc
_chemical_formula_sum 'Sm6 Dy2 Y2 Sc2'
_space_group_name_H-M_alt 'P 1 21/m 1'
_space_group_IT_number 11
_space_group_name_Hall '-P 2yb'
_cell_length_a 7.900
_cell_length_b 5.033
_cell_length_c 10.031
_cell_angle_alpha 90.00
_cell_angle_beta 108.57
_cell_angle_gamma 90.00
loop_
_atom_site_label
_atom_site_type_symbol
_atom_site_fract_x
_atom_site_fract_y
_atom_site_fract_z
Sm1 Sm 0.169 0.250 0.044
Sm2 Sm 0.172 0.750 0.790
Sm3 Sm 0.176 0.250 0.542
Dy1 Dy 0.499 0.750 0.128
Y1 Y 0.175 0.750 0.297
Sc1 Sc 0.499 0.250 0.379
```

---

No. 7
Crystalline SmDy2YSc4 at its relaxed geometry, computed with PBE.

```
data_SmDy2YSc4
_chemical_formula_sum 'Sm1 Dy2 Y1 Sc4'
_space_group_name_H-M_alt 'P 4/m m m'
_space_group_IT_number 123
_space_group_name_Hall '-P 4 2'
_cell_length_a 4.919
_cell_length_b 4.919
_cell_length_c 9.304
_cell_angle_alpha 90.00
_cell_angle_beta 90.00
_cell_angle_gamma 90.00
loop_
_atom_site_label
_atom_site_type_symbol
_atom_site_fract_x
_atom_site_fract_y
_atom_site_fract_z
Sm1 Sm 0.000 0.000 0.000
Dy1 Dy 0.000 0.000 0.500
Dy2 Dy 0.500 0.500 0.000
Y1 Y 0.500 0.500 0.500
Sc1 Sc 0.000 0.500 0.250
```

---

No. 8
Crystalline Sm2Dy5YSc at its relaxed geometry, computed with PBE.

```
data_Sm2Dy5YSc
_chemical_formula_sum 'Sm8 Dy20 Y4 Sc4'
_space_group_name_H-M_alt 'I 4/m c m'
_space_group_IT_number 140
_space_group_name_Hall '-I 4 2c'
_cell_length_a 8.510
_cell_length_b 8.510
_cell_length_c 15.684
_cell_angle_alpha 90.00
_cell_angle_beta 90.00
_cell_angle_gamma 90.00
loop_
_atom_site_label
_atom_site_type_symbol
_atom_site_fract_x
_atom_site_fract_y
_atom_site_fract_z
Sm1 Sm 0.120 0.380 0.000
Dy1 Dy 0.000 0.000 0.000
Dy2 Dy 0.209 0.291 0.358
Y1 Y 0.000 0.000 0.250
Sc1 Sc 0.000 0.500 0.250
```

---

No. 9
Crystalline SmDy5Y2Sc at its relaxed geometry, computed with PBE.

```
data_SmDy5Y2Sc
_chemical_formula_sum 'Sm4 Dy20 Y8 Sc4'
_space_group_name_H-M_alt 'C m c 21'
_space_group_IT_number 36
_space_group_name_Hall 'C 2c -2'
_cell_length_a 5.577
_cell_length_b 19.688
_cell_length_c 10.405
_cell_angle_alpha 90.00
_cell_angle_beta 90.00
_cell_angle_gamma 90.00
loop_
_atom_site_label
_atom_site_type_symbol
_atom_site_fract_x
_atom_site_fract_y
_atom_site_fract_z
Sm1 Sm 0.000 0.087 0.000
Dy1 Dy 0.000 0.018 0.283
Dy2 Dy 0.000 0.122 0.564
Dy3 Dy 0.000 0.201 0.249
Dy4 Dy 0.000 0.222 0.864
Dy5 Dy 0.000 0.480 0.563
Y1 Y 0.000 0.387 0.279
Y2 Y 0.000 0.389 0.859
Sc1 Sc 0.000 0.303 0.558
```

---

No. 10
Crystalline SmDy3Y6Sc2 at its relaxed geometry, computed with PBE.

```
data_SmDy3Y6Sc2
_chemical_formula_sum 'Sm2 Dy6 Y12 Sc4'
_space_group_name_H-M_alt 'C 1 2/m 1'
_space_group_IT_number 12
_space_group_name_Hall '-C 2y'
_cell_length_a 6.098
_cell_length_b 10.551
_cell_length_c 11.661
_cell_angle_alpha 90.00
_cell_angle_beta 99.99
_cell_angle_gamma 90.00
loop_
_atom_site_label
_atom_site_type_symbol
_atom_site_fract_x
_atom_site_fract_y
_atom_site_fract_z
Sm1 Sm 0.000 0.000 0.000
Dy1 Dy 0.000 0.167 0.500
Dy2 Dy 0.000 0.500 0.500
Y1 Y 0.247 0.500 0.246
Y2 Y 0.249 0.332 0.754
Sc1 Sc 0.000 0.333 0.000
```

---

No. 11
Crystalline Sm6DyYSc2 at its relaxed geometry, computed with PBE.

```
data_Sm6DyYSc2
_chemical_formula_sum 'Sm24 Dy4 Y4 Sc8'
_space_group_name_H-M_alt 'C 1 2/c 1'
_space_group_IT_number 15
_space_group_name_Hall '-C 2yc'
_cell_length_a 9.027
_cell_length_b 15.013
_cell_length_c 9.481
_cell_angle_alpha 90.00
_cell_angle_beta 97.58
_cell_angle_gamma 90.00
loop_
_atom_site_label
_atom_site_type_symbol
_atom_site_fract_x
_atom_site_fract_y
_atom_site_fract_z
Sm1 Sm 0.062 0.177 0.448
Sm2 Sm 0.100 0.397 0.618
Sm3 Sm 0.213 0.227 0.817
Dy1 Dy 0.000 0.408 0.250
Y1 Y 0.000 0.027 0.750
Sc1 Sc 0.250 0.052 0.047
```

---

No. 12
Crystalline Sm2DyYSc4 at its relaxed geometry, computed with PBE.

```
data_Sm2DyYSc4
_chemical_formula_sum 'Sm2 Dy1 Y1 Sc4'
_space_group_name_H-M_alt 'P 4/m m m'
_space_group_IT_number 123
_space_group_name_Hall '-P 4 2'
_cell_length_a 4.953
_cell_length_b 4.953
_cell_length_c 9.255
_cell_angle_alpha 90.00
_cell_angle_beta 90.00
_cell_angle_gamma 90.00
loop_
_atom_site_label
_atom_site_type_symbol
_atom_site_fract_x
_atom_site_fract_y
_atom_site_fract_z
Sm1 Sm 0.000 0.000 0.000
Sm2 Sm 0.500 0.500 0.500
Dy1 Dy 0.000 0.000 0.500
Y1 Y 0.500 0.500 0.000
Sc1 Sc 0.000 0.500 0.251
```

---

No. 13
Crystalline Sm6Dy3YSc2 at its relaxed geometry, computed with PBE.

```
data_Sm6Dy3YSc2
_chemical_formula_sum 'Sm12 Dy6 Y2 Sc4'
_space_group_name_H-M_alt 'C 1 2/m 1'
_space_group_IT_number 12
_space_group_name_Hall '-C 2y'
_cell_length_a 6.156
_cell_length_b 10.656
_cell_length_c 11.626
_cell_angle_alpha 90.00
_cell_angle_beta 100.13
_cell_angle_gamma 90.00
loop_
_atom_site_label
_atom_site_type_symbol
_atom_site_fract_x
_atom_site_fract_y
_atom_site_fract_z
Sm1 Sm 0.245 0.000 0.245
Sm2 Sm 0.249 0.169 0.755
Dy1 Dy 0.000 0.000 0.500
Dy2 Dy 0.000 0.333 0.500
Y1 Y 0.000 0.500 0.000
Sc1 Sc 0.000 0.167 0.000
```

---

No. 14
Crystalline SmDy2Y2Sc at its relaxed geometry, computed with PBE.

```
data_SmDy2Y2Sc
_chemical_formula_sum 'Sm2 Dy4 Y4 Sc2'
_space_group_name_H-M_alt 'P n n m'
_space_group_IT_number 58
_space_group_name_Hall '-P 2 2n'
_cell_length_a 6.519
_cell_length_b 17.435
_cell_length_c 3.341
_cell_angle_alpha 90.00
_cell_angle_beta 90.00
_cell_angle_gamma 90.00
loop_
_atom_site_label
_atom_site_type_symbol
_atom_site_fract_x
_atom_site_fract_y
_atom_site_fract_z
Sm1 Sm 0.000 0.000 0.000
Dy1 Dy 0.247 0.146 0.500
Y1 Y 0.247 0.318 0.000
Sc1 Sc 0.000 0.500 0.000
```

---

No. 15
Crystalline SmDy3YSc at its relaxed geometry, computed with PBE.

```
data_SmDy3YSc
_chemical_formula_sum 'Sm4 Dy12 Y4 Sc4'
_space_group_name_H-M_alt 'C m c m'
_space_group_IT_number 63
_space_group_name_Hall '-C 2c 2'
_cell_length_a 4.971
_cell_length_b 14.885
_cell_length_c 9.965
_cell_angle_alpha 90.00
_cell_angle_beta 90.00
_cell_angle_gamma 90.00
loop_
_atom_site_label
_atom_site_type_symbol
_atom_site_fract_x
_atom_site_fract_y
_atom_site_fract_z
Sm1 Sm 0.000 0.003 0.250
Dy1 Dy 0.000 0.168 0.000
Dy2 Dy 0.000 0.330 0.250
Y1 Y 0.000 0.500 0.000
Sc1 Sc 0.000 0.332 0.750
```

---

No. 16
Crystalline Sm2Dy6Y3Sc at its relaxed geometry, computed with PBE.

```
data_Sm2Dy6Y3Sc
_chemical_formula_sum 'Sm4 Dy12 Y6 Sc2'
_space_group_name_H-M_alt 'C 1 2/m 1'
_space_group_IT_number 12
_space_group_name_Hall '-C 2y'
_cell_length_a 6.131
_cell_length_b 10.612
_cell_length_c 11.748
_cell_angle_alpha 90.00
_cell_angle_beta 99.96
_cell_angle_gamma 90.00
loop_
_atom_site_label
_atom_site_type_symbol
_atom_site_fract_x
_atom_site_fract_y
_atom_site_fract_z
Sm1 Sm 0.000 0.167 0.000
Dy1 Dy 0.248 0.335 0.248
Dy2 Dy 0.248 0.500 0.751
Y1 Y 0.000 0.000 0.500
Y2 Y 0.000 0.334 0.500
Sc1 Sc 0.000 0.500 0.000
```

---

No. 17
Crystalline SmDyYSc at its relaxed geometry, computed with PBE.

**Energy above the lowest structure with this stoichiometry**: 0.0 meV per atom

```
data_SmDyYSc
_chemical_formula_sum 'Sm2 Dy2 Y2 Sc2'
_space_group_name_H-M_alt 'C 1 m 1'
_space_group_IT_number 8
_space_group_name_Hall 'C -2y'
_cell_length_a 12.139
_cell_length_b 5.618
_cell_length_c 3.791
_cell_angle_alpha 90.00
_cell_angle_beta 108.18
_cell_angle_gamma 90.00
loop_
_atom_site_label
_atom_site_type_symbol
_atom_site_fract_x
_atom_site_fract_y
_atom_site_fract_z
Sm1 Sm 0.000 0.000 0.000
Dy1 Dy 0.044 0.500 0.544
Y1 Y 0.275 0.000 0.777
Sc1 Sc 0.271 0.500 0.271
```

---

No. 18
Crystalline SmDy6Y2Sc at its relaxed geometry, computed with PBE.

```
data_SmDy6Y2Sc
_chemical_formula_sum 'Sm4 Dy24 Y8 Sc4'
_space_group_name_H-M_alt 'C 1 2/c 1'
_space_group_IT_number 15
_space_group_name_Hall '-C 2yc'
_cell_length_a 9.226
_cell_length_b 14.964
_cell_length_c 9.153
_cell_angle_alpha 90.00
_cell_angle_beta 94.51
_cell_angle_gamma 90.00
loop_
_atom_site_label
_atom_site_type_symbol
_atom_site_fract_x
_atom_site_fract_y
_atom_site_fract_z
Sm1 Sm 0.000 0.031 0.250
Dy1 Dy 0.054 0.180 0.944
Dy2 Dy 0.097 0.384 0.108
Dy3 Dy 0.225 0.220 0.308
Y1 Y 0.241 0.448 0.447
Sc1 Sc 0.000 0.419 0.750
```

---

No. 19
Crystalline SmDy6Y3Sc2 at its relaxed geometry, computed with PBE.

```
data_SmDy6Y3Sc2
_chemical_formula_sum 'Sm2 Dy12 Y6 Sc4'
_space_group_name_H-M_alt 'C 1 2/m 1'
_space_group_IT_number 12
_space_group_name_Hall '-C 2y'
_cell_length_a 6.084
_cell_length_b 10.529
_cell_length_c 11.628
_cell_angle_alpha 90.00
_cell_angle_beta 99.99
_cell_angle_gamma 90.00
loop_
_atom_site_label
_atom_site_type_symbol
_atom_site_fract_x
_atom_site_fract_y
_atom_site_fract_z
Sm1 Sm 0.000 0.000 0.000
Dy1 Dy 0.246 0.500 0.245
Dy2 Dy 0.250 0.168 0.245
Y1 Y 0.000 0.167 0.500
Y2 Y 0.000 0.500 0.500
Sc1 Sc 0.000 0.333 0.000
```

---

No. 20
Crystalline Sm2DyYSc at its relaxed geometry, computed with PBE.

```
data_Sm2DyYSc
_chemical_formula_sum 'Sm8 Dy4 Y4 Sc4'
_space_group_name_H-M_alt 'C m c m'
_space_group_IT_number 63
_space_group_name_Hall '-C 2c 2'
_cell_length_a 8.170
_cell_length_b 11.370
_cell_length_c 7.123
_cell_angle_alpha 90.00
_cell_angle_beta 90.00
_cell_angle_gamma 90.00
loop_
_atom_site_label
_atom_site_type_symbol
_atom_site_fract_x
_atom_site_fract_y
_atom_site_fract_z
Sm1 Sm 0.199 0.000 0.000
Dy1 Dy 0.000 0.222 0.250
Y1 Y 0.000 0.244 0.750
Sc1 Sc 0.000 0.484 0.250
```

---

no.,V (Å³/cell),total magnetic moment (μB per formula unit),ΔH_f (0 K) (eV/atom)
1,376,0.0,0.0670
2,1161,0.0,0.1540
3,489,0.0,0.1199
4,428,0.0,0.1126
5,1151,0.0,0.1653
6,378,0.0,0.0402
7,225,0.0,0.0543
8,1136,0.0,0.2827
9,1142,0.0,0.1677
10,739,0.0,0.0421
11,1274,0.0,0.1235
12,227,0.0,0.0528
13,751,0.0,0.0348
14,380,0.0,0.2699
15,737,0.0,0.0378
16,753,0.0,0.0276
17,246,0.0,0.1077
18,1260,0.0,0.1323
19,734,0.0,0.0389
20,662,0.0,0.3582